A relaxed Er2Sc5CdTc2 crystal. Source: Alexandria via LeMat-Bulk, functional PBE.

Its formation enthalpy at 0 K is -0.162 eV per atom. As for the crystal system: tetragonal. Its total DFT energy (no corrections) is -6.405 eV per atom.

a b c (Å): 10.867 10.867 3.884
angles (deg): 90.00 90.00 90.00
Sites, in units of the cell vectors:
Er  0.174  0.326  0.000
Er  0.326  0.826  0.000
Er  0.674  0.174  0.000
Er  0.826  0.674  0.000
Sc  0.000  0.500  0.500
Sc  0.071  0.787  0.500
Sc  0.213  0.071  0.500
Sc  0.287  0.571  0.500
Sc  0.429  0.287  0.500
Sc  0.500  0.000  0.500
Sc  0.571  0.713  0.500
Sc  0.713  0.429  0.500
Sc  0.787  0.929  0.500
Sc  0.929  0.213  0.500
Cd  0.000  0.000  0.000
Cd  0.500  0.500  0.000
Tc  0.122  0.622  0.000
Tc  0.378  0.122  0.000
Tc  0.622  0.878  0.000
Tc  0.878  0.378  0.000